Entry 1:
{
  "formula": "Mg4MnS5",
  "functional": "PBE",
  "state": "optimized geometry",
  "lattice_angstrom": [[3.599, 0.000, 0.822], [1.518, 5.987, 1.644], [0.008, 0.008, 8.255]],
  "species": ["S", "S", "S", "S", "S", "Mg", "Mg", "Mg", "Mg", "Mn"],
  "frac_coords": [[0.000, 0.500, 0.500], [0.599, 0.702, 0.099], [0.800, 0.100, 0.299], [0.401, 0.298, 0.901], [0.200, 0.900, 0.701], [0.400, 0.800, 0.399], [0.200, 0.399, 0.200], [0.600, 0.200, 0.601], [0.800, 0.601, 0.800], [0.000, 0.000, 0.000]],
  "total_energy_ev_per_atom": -4.86,
  "spacegroup": "No. 12"
}



Entry 2:
{
  "formula": "MgMnS3",
  "functional": "PBE",
  "state": "optimized geometry",
  "lattice_angstrom": [[-3.259, 2.420, -2.420], [-3.412, -2.037, 2.558], [0.267, 3.511, 3.151]],
  "species": ["S", "S", "S", "Mn", "Mg"],
  "frac_coords": [[0.500, 0.000, 0.000], [0.000, 0.500, 0.000], [0.000, 0.000, 0.500], [0.500, 0.500, 0.500], [0.000, 0.000, 0.000]],
  "e_above_lowest_polymorph_mev_per_atom": 493,
  "total_energy_ev_per_atom": -4.36,
  "spacegroup": "No. 221"
}



Entry 3:
{
  "formula": "MgMn2S",
  "functional": "PBE",
  "state": "optimized geometry",
  "lattice_angstrom": [[-2.156, 0.244, -6.669], [-6.630, -0.877, 2.111], [-4.680, 2.311, -2.090]],
  "species": ["Mg", "Mg", "S", "S", "Mn", "Mn", "Mn", "Mn"],
  "frac_coords": [[0.500, 0.500, 0.000], [0.250, 0.750, 0.500], [0.750, 0.250, 0.500], [0.000, 0.000, 0.000], [0.056, 0.625, 0.250], [0.375, 0.306, 0.750], [0.694, 0.125, 0.250], [0.875, 0.944, 0.750]],
  "e_above_lowest_polymorph_mev_per_atom": 0,
  "total_energy_ev_per_atom": -5.89,
  "spacegroup": "No. 122"
}



Entry 4:
{
  "formula": "MgMn4S7",
  "functional": "PBE",
  "state": "optimized geometry",
  "lattice_angstrom": [[-0.067, -1.742, 3.068], [0.852, -1.697, -2.975], [20.164, 4.685, 3.101]],
  "species": ["Mn", "Mn", "Mn", "Mn", "S", "S", "S", "S", "S", "S", "S", "Mg"],
  "frac_coords": [[0.667, 0.333, 0.075], [0.333, 0.667, 0.925], [0.333, 0.667, 0.651], [0.667, 0.333, 0.349], [0.333, 0.667, 0.132], [0.667, 0.333, 0.868], [0.667, 0.333, 0.575], [0.333, 0.667, 0.425], [0.000, 0.000, 0.292], [0.000, 0.000, 0.000], [0.000, 0.000, 0.708], [0.000, 0.000, 0.500]],
  "total_energy_ev_per_atom": -6.22,
  "spacegroup": "No. 164"
}



Listing formation energy without anion corrections for the structures above in their given order: -1244, 268, 126, -619 meV/atom.